This record from Alexandria describes crystalline InRuSe2 at its relaxed geometry. The functional is GGA-PBEsol.

a b c (Å): 3.656 3.656 8.296
angles (deg): 77.27 77.27 60.00
Element x y z (fractional)
Se 0.904 0.904 0.289
Se 0.096 0.096 0.711
In 0.500 0.500 0.500
Ru 0.000 0.000 0.000

Summary:
The total moment is 1.2 μB per formula unit. The value obtained for the uncorrected formation energy is 0.48 eV/atom. Its density of states at the Fermi level is 3.6 states/eV/f.u.